{
  "formula": "CaMgNi2",
  "functional": "PBEsol",
  "state": "optimized geometry",
  "formation_energy_ev_per_fu": 0.071,
  "dft_energy_ev_per_atom": -4.023,
  "lattice": [[3.215, 0.000, 0.000], [0.000, 3.215, 0.000], [0.000, 0.000, 6.276]],
  "species": ["Ca", "Ni", "Ni", "Mg"],
  "fractional_positions": [[0.500, 0.500, 0.000], [0.000, 0.000, 0.703], [0.000, 0.000, 0.297], [0.500, 0.500, 0.500]]
}